# 1
# SCAN SbTeW3, PBEsol geometry
# Formation energy (no corrections) in eV/atom: 2.62
# Energy in eV per atom: -54.10
# Energy relative to the lowest polymorph listed for this composition in meV/atom: 0.0
data_SbTeW3
_chemical_formula_sum 'Sb1 Te1 W3'
_symmetry_space_group_name_H-M 'P m -3 m'
_symmetry_Int_Tables_number 221
_symmetry_space_group_name_Hall '-P 4 2 3'
_cell_length_a 4.8754
_cell_length_b 4.8754
_cell_length_c 4.8754
_cell_angle_alpha 90.00
_cell_angle_beta 90.00
_cell_angle_gamma 90.00
loop_
_atom_site_label
_atom_site_type_symbol
_atom_site_fract_x
_atom_site_fract_y
_atom_site_fract_z
Sb1 Sb 0.0000 0.0000 0.0000
Te1 Te 0.5000 0.5000 0.5000
W1 W 0.0000 0.5000 0.5000


# 2
# SCAN TbNiSn2, PBEsol geometry
# Energy in eV per atom: -34.34
# Energy relative to the elements in eV per atom: -0.64
data_TbNiSn2
_chemical_formula_sum 'Tb12 Ni12 Sn24'
_symmetry_space_group_name_H-M 'P n m a'
_symmetry_Int_Tables_number 62
_cell_length_a 15.9035
_cell_length_b 4.3932
_cell_length_c 14.4490
_cell_angle_alpha 90.00
_cell_angle_beta 90.00
_cell_angle_gamma 90.00
loop_
_symmetry_equiv_pos_as_xyz
'x,y,z'
'-x,-y,-z'
'-x+1/2,-y,z+1/2'
'x+1/2,y,-z+1/2'
'x+1/2,-y+1/2,-z+1/2'
'-x+1/2,y+1/2,z+1/2'
'-x,y+1/2,-z'
'x,-y+1/2,z'
loop_
_atom_site_label
_atom_site_type_symbol
_atom_site_fract_x
_atom_site_fract_y
_atom_site_fract_z
Tb1 Tb 0.1250 0.2500 0.2302
Tb2 Tb 0.1453 0.7500 0.6069
Tb3 Tb 0.1503 0.2500 0.9722
Ni1 Ni 0.0510 0.7500 0.1050
Ni2 Ni 0.1978 0.2500 0.7490
Ni3 Ni 0.2007 0.2500 0.4567
Sn1 Sn 0.0210 0.7500 0.9212
Sn2 Sn 0.0344 0.2500 0.7405
Sn3 Sn 0.0439 0.2500 0.4512
Sn4 Sn 0.1731 0.7500 0.3729
Sn5 Sn 0.1862 0.7500 0.8253
Sn6 Sn 0.2132 0.7500 0.1062


# 3
# SCAN LaGaCuO2, PBEsol geometry
# Formation energy (no corrections) in eV/atom: -0.88
# Energy in eV per atom: -18.30
data_LaGaCuO2
_chemical_formula_sum 'La1 Ga1 Cu1 O2'
_symmetry_space_group_name_H-M 'P 4/m m m'
_symmetry_Int_Tables_number 123
_symmetry_space_group_name_Hall '-P 4 2'
_cell_length_a 4.1597
_cell_length_b 4.1597
_cell_length_c 4.2709
_cell_angle_alpha 90.00
_cell_angle_beta 90.00
_cell_angle_gamma 90.00
loop_
_atom_site_label
_atom_site_type_symbol
_atom_site_fract_x
_atom_site_fract_y
_atom_site_fract_z
La1 La 0.0000 0.0000 0.0000
Ga1 Ga 0.5000 0.5000 0.0000
Cu1 Cu 0.5000 0.5000 0.5000
O1 O 0.0000 0.5000 0.5000


Question: Which formula does entry 2 have?
Answer: TbNiSn2


Question: Look up the energy of the third one.
Answer: -18.30 eV per atom


Question: What is the formula in the first record?
Answer: SbTeW3


Copy entry 2 word for word.
# SCAN TbNiSn2, PBEsol geometry
# Energy in eV per atom: -34.34
# Energy relative to the elements in eV per atom: -0.64
data_TbNiSn2
_chemical_formula_sum 'Tb12 Ni12 Sn24'
_symmetry_space_group_name_H-M 'P n m a'
_symmetry_Int_Tables_number 62
_cell_length_a 15.9035
_cell_length_b 4.3932
_cell_length_c 14.4490
_cell_angle_alpha 90.00
_cell_angle_beta 90.00
_cell_angle_gamma 90.00
loop_
_symmetry_equiv_pos_as_xyz
'x,y,z'
'-x,-y,-z'
'-x+1/2,-y,z+1/2'
'x+1/2,y,-z+1/2'
'x+1/2,-y+1/2,-z+1/2'
'-x+1/2,y+1/2,z+1/2'
'-x,y+1/2,-z'
'x,-y+1/2,z'
loop_
_atom_site_label
_atom_site_type_symbol
_atom_site_fract_x
_atom_site_fract_y
_atom_site_fract_z
Tb1 Tb 0.1250 0.2500 0.2302
Tb2 Tb 0.1453 0.7500 0.6069
Tb3 Tb 0.1503 0.2500 0.9722
Ni1 Ni 0.0510 0.7500 0.1050
Ni2 Ni 0.1978 0.2500 0.7490
Ni3 Ni 0.2007 0.2500 0.4567
Sn1 Sn 0.0210 0.7500 0.9212
Sn2 Sn 0.0344 0.2500 0.7405
Sn3 Sn 0.0439 0.2500 0.4512
Sn4 Sn 0.1731 0.7500 0.3729
Sn5 Sn 0.1862 0.7500 0.8253
Sn6 Sn 0.2132 0.7500 0.1062